Ag2Sb, relaxed, DFT GGA-PBEsol; formation energy without anion corrections = 0.0567 eV per atom; uncorrected energy = -3.670 eV/atom; symmetry = No. 63; offset from the most stable computed form = 0.09 kcal/mol of atoms
1.0
2.079 -6.608 0.000
2.079 6.608 0.000
0.000 0.000 4.257
Ag Sb
4 2
Direct
0.089 0.911 0.750
0.252 0.748 0.250
0.748 0.252 0.750
0.911 0.089 0.250
0.405 0.595 0.750
0.595 0.405 0.250